Here is an optimized crystal structure of PuAs4Rh6 from Alexandria. Energies are from GGA-PBE.

ΔH_f (0 K)   -0.6036 eV per atom

Geometry as POSCAR:
```
PuAs4Rh6
1.0
7.260 0.000 0.000
-3.630 6.288 0.000
0.000 0.000 3.860
Pu As Rh
1 4 6
Direct
0.000 0.000 0.000 Pu
0.333 0.667 0.000 As
0.379 0.189 0.500 As
0.811 0.189 0.500 As
0.811 0.621 0.500 As
0.200 0.399 0.500 Rh
0.200 0.800 0.500 Rh
0.534 0.067 0.000 Rh
0.534 0.466 0.000 Rh
0.601 0.800 0.500 Rh
0.933 0.466 0.000 Rh
```



Here is an optimized crystal structure of Pu4As2Rh from Alexandria. Energies are from GGA-PBE.

ΔH_f (0 K)   -0.4240 eV per atom

Geometry as POSCAR:
```
Pu4As2Rh
1.0
2.071 1.195 12.109
-2.071 1.195 12.109
0.000 -2.391 12.109
Pu As Rh
4 2 1
Direct
0.197 0.197 0.197 Pu
0.291 0.291 0.291 Pu
0.709 0.709 0.709 Pu
0.803 0.803 0.803 Pu
0.094 0.094 0.094 As
0.906 0.906 0.906 As
0.000 0.000 0.000 Rh
```



Here is an optimized crystal structure of Pu2As7Rh12 from Alexandria. Energies are from GGA-PBE.

ΔH_f (0 K)   -0.6065 eV per atom

Geometry as POSCAR:
```
Pu2As7Rh12
1.0
9.971 0.000 0.000
-4.985 8.635 0.000
0.000 0.000 3.947
Pu As Rh
2 7 12
Direct
0.333 0.667 0.252 Pu
0.667 0.333 0.748 Pu
0.000 0.000 0.000 As
0.120 0.407 0.750 As
0.287 0.880 0.750 As
0.407 0.287 0.250 As
0.593 0.713 0.750 As
0.713 0.120 0.250 As
0.880 0.593 0.250 As
0.060 0.617 0.750 Rh
0.112 0.850 0.255 Rh
0.150 0.262 0.255 Rh
0.262 0.112 0.745 Rh
0.383 0.443 0.750 Rh
0.443 0.060 0.250 Rh
0.557 0.940 0.750 Rh
0.617 0.557 0.250 Rh
0.738 0.888 0.255 Rh
0.850 0.738 0.745 Rh
0.888 0.150 0.745 Rh
0.940 0.383 0.250 Rh
```



Here is an optimized crystal structure of PuAs2Rh2 from Alexandria. Energies are from GGA-PBE.

ΔH_f (0 K)   -0.7010 eV per atom

Geometry as POSCAR:
```
PuAs2Rh2
1.0
4.247 0.000 0.000
0.000 4.247 0.000
0.000 0.000 10.084
Pu As Rh
2 4 4
Direct
0.250 0.250 0.245 Pu
0.750 0.750 0.755 Pu
0.250 0.250 0.637 As
0.250 0.750 0.000 As
0.750 0.250 0.000 As
0.750 0.750 0.363 As
0.250 0.250 0.876 Rh
0.250 0.750 0.500 Rh
0.750 0.250 0.500 Rh
0.750 0.750 0.124 Rh
```



Here is an optimized crystal structure of Pu2AsRh from Alexandria. Energies are from GGA-PBE.

ΔH_f (0 K)   -0.6735 eV per atom

Geometry as POSCAR:
```
Pu2AsRh
1.0
5.813 0.000 0.000
0.000 4.133 0.000
-2.596 0.000 7.379
Pu As Rh
4 2 2
Direct
0.185 0.250 0.409 Pu
0.280 0.750 0.065 Pu
0.720 0.250 0.935 Pu
0.815 0.750 0.591 Pu
0.375 0.750 0.697 As
0.625 0.250 0.303 As
0.131 0.250 0.798 Rh
0.869 0.750 0.202 Rh
```



Here is an optimized crystal structure of Pu2As4RuRh3 from Alexandria. Energies are from GGA-PBE.

ΔH_f (0 K)   -0.6645 eV per atom

Geometry as POSCAR:
```
Pu2As4RuRh3
1.0
4.258 0.000 0.000
0.000 4.258 0.000
0.000 0.000 10.006
Pu As Ru Rh
2 4 1 3
Direct
0.000 0.500 0.242 Pu
0.500 0.000 0.758 Pu
0.000 0.000 0.000 As
0.000 0.500 0.633 As
0.500 0.000 0.367 As
0.500 0.500 0.000 As
0.000 0.000 0.500 Ru
0.000 0.500 0.875 Rh
0.500 0.000 0.125 Rh
0.500 0.500 0.500 Rh
```



Here is an optimized crystal structure of PuAs2RuRh2 from Alexandria. Energies are from GGA-PBE.

ΔH_f (0 K)   -0.4036 eV per atom

Geometry as POSCAR:
```
PuAs2RuRh2
1.0
-1.975 1.975 7.672
1.975 -1.975 7.672
1.975 1.975 -7.672
Pu As Ru Rh
1 2 1 2
Direct
0.000 0.000 0.000 Pu
0.343 0.343 0.000 As
0.657 0.657 0.000 As
0.500 0.500 0.000 Ru
0.250 0.750 0.500 Rh
0.750 0.250 0.500 Rh
```



Here is an optimized crystal structure of Pu3SbAs2Rh9 from Alexandria. Energies are from GGA-PBE.

Formation energy (no corrections)   -0.26 eV/atom

Geometry as POSCAR:
```
Pu3SbAs2Rh9
1.0
6.591 0.000 0.000
-3.295 5.708 0.000
0.000 0.000 8.519
Pu Sb As Rh
3 1 2 9
Direct
0.000 0.000 0.000 Pu
0.333 0.667 0.746 Pu
0.667 0.333 0.254 Pu
0.000 0.000 0.500 Sb
0.333 0.667 0.191 As
0.667 0.333 0.809 As
0.000 0.500 0.000 Rh
0.137 0.274 0.252 Rh
0.137 0.863 0.252 Rh
0.274 0.137 0.748 Rh
0.500 0.000 0.000 Rh
0.500 0.500 0.000 Rh
0.726 0.863 0.252 Rh
0.863 0.137 0.748 Rh
0.863 0.726 0.748 Rh
```



Here is an optimized crystal structure of Pu2SbAsRh6 from Alexandria. Energies are from GGA-PBE.

Formation energy (no corrections)   -0.36 eV/atom

Geometry as POSCAR:
```
Pu2SbAsRh6
1.0
5.479 0.000 0.000
0.000 8.568 0.000
0.000 0.000 8.427
Pu Sb As Rh
4 2 2 12
Direct
0.250 0.021 0.230 Pu
0.250 0.479 0.230 Pu
0.750 0.521 0.770 Pu
0.750 0.979 0.770 Pu
0.250 0.250 0.769 Sb
0.750 0.750 0.231 Sb
0.250 0.750 0.743 As
0.750 0.250 0.257 As
0.001 0.750 0.976 Rh
0.005 0.250 0.495 Rh
0.250 0.501 0.592 Rh
0.250 0.999 0.592 Rh
0.495 0.250 0.495 Rh
0.499 0.750 0.976 Rh
0.501 0.250 0.024 Rh
0.505 0.750 0.505 Rh
0.750 0.001 0.408 Rh
0.750 0.499 0.408 Rh
0.995 0.750 0.505 Rh
0.999 0.250 0.024 Rh
```



Here is an optimized crystal structure of PuScAs2Rh5 from Alexandria. Energies are from GGA-PBE.

ΔH_f (0 K)   -0.4436 eV per atom

Geometry as POSCAR:
```
PuScAs2Rh5
1.0
4.019 0.000 0.000
0.000 4.019 0.000
0.000 0.000 11.028
Pu Sc As Rh
1 1 2 5
Direct
0.000 0.000 0.000 Pu
0.000 0.000 0.500 Sc
0.500 0.500 0.217 As
0.500 0.500 0.783 As
0.000 0.500 0.334 Rh
0.000 0.500 0.666 Rh
0.500 0.000 0.334 Rh
0.500 0.000 0.666 Rh
0.500 0.500 0.000 Rh
```



Here is an optimized crystal structure of PuAsRhSe from Alexandria. Energies are from GGA-PBE.

Formation energy (no corrections)   -0.86 eV/atom

Geometry as POSCAR:
```
PuAsRhSe
1.0
4.125 0.000 0.000
0.000 4.125 0.000
0.000 0.000 9.296
Pu As Rh Se
2 2 2 2
Direct
0.250 0.250 0.225 Pu
0.750 0.750 0.775 Pu
0.250 0.250 0.658 As
0.750 0.750 0.342 As
0.250 0.750 0.500 Rh
0.750 0.250 0.500 Rh
0.250 0.750 0.000 Se
0.750 0.250 0.000 Se
```



Here is an optimized crystal structure of Sm2PuAs3Rh4 from Alexandria. Energies are from GGA-PBE.

ΔH_f (0 K)   -0.8752 eV per atom

Geometry as POSCAR:
```
Sm2PuAs3Rh4
1.0
4.137 0.000 0.000
0.000 4.137 0.000
0.000 0.000 11.338
Sm Pu As Rh
2 1 3 4
Direct
0.000 0.500 0.223 Sm
0.500 0.000 0.777 Sm
0.000 0.000 0.500 Pu
0.000 0.500 0.871 As
0.500 0.000 0.129 As
0.500 0.500 0.500 As
0.000 0.000 0.000 Rh
0.000 0.500 0.658 Rh
0.500 0.000 0.342 Rh
0.500 0.500 0.000 Rh
```



Number 1: ρ 10.94 g cm⁻³, final energy -7.61 eV/atom. Number 2: ρ 11.35 g cm⁻³, final energy -10.99 eV/atom. Number 3: ρ 10.98 g cm⁻³, final energy -7.72 eV/atom. Number 4: ρ 10.95 g cm⁻³, final energy -8.37 eV/atom. Number 5: ρ 12.47 g cm⁻³, final energy -10.84 eV/atom. Number 6: ρ 10.96 g cm⁻³, final energy -8.52 eV/atom. Number 7: ρ 9.72 g cm⁻³, final energy -8.34 eV/atom. Number 8: ρ 10.00 g cm⁻³, final energy -8.43 eV/atom. Number 9: ρ 10.93 g cm⁻³, final energy -8.52 eV/atom. Number 10: ρ 8.89 g cm⁻³, final energy -7.86 eV/atom. Number 11: ρ 10.52 g cm⁻³, final energy -8.32 eV/atom. Number 12: ρ 10.11 g cm⁻³, final energy -7.59 eV/atom.